KBeAs2 | the Alexandria database | PBE | relaxed; energy of formation = -13 meV/atom; DOS at the Fermi energy = 0.93 states/eV per cell
1.0
3.055 0.000 0.000
0.000 3.248 -0.033
0.000 1.708 8.606
As K Be
2 1 1
Direct
0.500 0.342 0.440
0.000 0.037 0.052
0.500 0.678 0.768
0.000 0.443 0.241